Entry 1:
The following is a DFT calculation (PBE) of K2BaAuO4 after structural relaxation.

a = 5.7840 Å, b = 5.7840 Å, c = 5.7840 Å
α = 103.87°, β = 112.34°, γ = 112.34°
Element x y z (fractional)
O1 0.4394 0.7196 0.7197
O2 0.5606 0.2804 0.2802
O3 0.0001 0.7198 0.2804
O4 0.9999 0.2803 0.7196
K1 0.0000 0.0000 0.0000
K2 0.5000 0.7500 0.2500
Au1 0.0000 0.5000 0.5000
Ba1 0.5000 0.2500 0.7500

Calculated values
Formation energy (no corrections) ... -1.28 eV/atom
Space-group type ... No. 119
Density ... 5.35 g cm⁻³
M_tot ... 1.07 μB per formula unit

=====

Entry 2:
The following is a DFT calculation (PBE) of K2ScO2 after structural relaxation.

a = 4.7550 Å, b = 4.7550 Å, c = 5.3826 Å
α = 63.79°, β = 63.79°, γ = 90.00°
Element x y z (fractional)
O1 0.7500 0.2500 0.5000
O2 0.2500 0.7500 0.5000
Sc1 0.0000 0.0000 0.0000
K1 0.6563 0.6563 0.6873
K2 0.3437 0.3437 0.3127

Calculated values
Formation energy (no corrections) ... -0.37 eV/atom
Space-group type ... No. 139
Density ... 2.71 g cm⁻³
E above lowest polymorph ... 148 meV per atom
M_tot ... 1.00 μB per formula unit

=====

Entry 3:
The following is a DFT calculation (PBE) of Dy3TlPb3 after structural relaxation.

a = 5.8096 Å, b = 8.9622 Å, c = 8.9622 Å
α = 120.00°, β = 90.00°, γ = 90.00°
Element x y z (fractional)
Dy1 0.2500 0.3589 0.4490
Dy2 0.2500 0.5510 0.9099
Dy3 0.7500 0.4490 0.0901
Dy4 0.2500 0.0901 0.6411
Dy5 0.7500 0.6411 0.5510
Dy6 0.7500 0.9099 0.3589
Pb1 0.2500 0.9462 0.2037
Pb2 0.2500 0.2576 0.0538
Pb3 0.7500 0.0538 0.7963
Pb4 0.7500 0.7424 0.9462
Pb5 0.2500 0.7963 0.7424
Pb6 0.7500 0.2037 0.2576
Tl1 0.2500 0.6667 0.3333
Tl2 0.7500 0.3333 0.6667

Calculated values
Space-group type ... No. 176
Density ... 10.79 g cm⁻³
M_tot ... 0.00 μB per formula unit
Formation energy from the elements ... -0.25 eV per atom

=====

Entry 4:
The following is a DFT calculation (PBE) of Be2PBr after structural relaxation.

a = 6.1825 Å, b = 6.1825 Å, c = 6.1825 Å
α = 32.62°, β = 32.62°, γ = 32.62°
Element x y z (fractional)
P1 0.7500 0.7500 0.7500
Be1 0.0282 0.0282 0.0282
Be2 0.4718 0.4718 0.4718
Br1 0.2500 0.2500 0.2500

Calculated values
Formation energy (no corrections) ... -0.09 eV/atom
Space-group type ... No. 166
Density ... 3.50 g cm⁻³
E above lowest polymorph ... 307 meV per atom
M_tot ... 0.00 μB per formula unit

=====

Entry 5:
The following is a DFT calculation (PBE) of HfPOF2 after structural relaxation.

a = 4.6746 Å, b = 4.6746 Å, c = 3.3762 Å
α = 90.00°, β = 90.00°, γ = 90.00°
Element x y z (fractional)
F1 0.0000 0.5000 0.0000
F2 0.5000 0.0000 0.0000
P1 0.0000 0.0000 0.0000
Hf1 0.5000 0.5000 0.5000
O1 0.0000 0.0000 0.5000

Calculated values
Formation energy (no corrections) ... -0.61 eV/atom
Space-group type ... No. 123
Density ... 5.93 g cm⁻³
E above lowest polymorph ... 1352 meV per atom
M_tot ... 1.12 μB per formula unit

=====

Entry 6:
The following is a DFT calculation (PBE) of Na3TlAu2 after structural relaxation.

a = 4.9864 Å, b = 7.5619 Å, c = 8.8211 Å
α = 115.38°, β = 106.42°, γ = 90.00°
Element x y z (fractional)
Au1 0.3470 0.8470 0.6940
Au2 0.6530 0.1530 0.3060
Au3 0.3470 0.3470 0.6940
Au4 0.6530 0.6530 0.3060
Na1 0.5000 0.7500 0.0000
Na2 0.8175 0.0675 0.6349
Na3 0.1825 0.4325 0.3651
Na4 0.1825 0.9325 0.3651
Na5 0.8175 0.5675 0.6349
Na6 0.5000 0.2500 0.0000
Tl1 0.0000 0.0000 0.0000
Tl2 0.0000 0.5000 0.0000

Calculated values
Space-group type ... No. 65
Density ... 7.76 g cm⁻³
E above lowest polymorph ... 0 meV per atom
M_tot ... 0.00 μB per formula unit
Formation energy from the elements ... -0.22 eV per atom

=====

Entry 7:
The following is a DFT calculation (PBE) of ReSiI2N after structural relaxation.

a = 5.5576 Å, b = 5.5576 Å, c = 3.7793 Å
α = 90.00°, β = 90.00°, γ = 90.00°
Element x y z (fractional)
Re1 0.0000 0.0000 0.0000
I1 0.0000 0.5000 0.0000
I2 0.5000 0.0000 0.0000
N1 0.0000 0.0000 0.5000
Si1 0.5000 0.5000 0.5000

Calculated values
Formation energy (no corrections) ... 0.77 eV/atom
Space-group type ... No. 123
Density ... 6.86 g cm⁻³
E above lowest polymorph ... 0 meV per atom
M_tot ... 0.00 μB per formula unit

=====

Entry 8:
The following is a DFT calculation (PBE) of NaSb2Se2 after structural relaxation.

a = 8.3613 Å, b = 8.3613 Å, c = 4.0171 Å
α = 90.00°, β = 90.00°, γ = 90.00°
Element x y z (fractional)
Na1 0.5000 0.5000 0.0000
Na2 0.0000 0.0000 0.0000
Se1 0.3359 0.8359 0.0000
Se2 0.8359 0.6641 0.0000
Se3 0.1641 0.3359 0.0000
Se4 0.6641 0.1641 0.0000
Sb1 0.8165 0.3165 0.5000
Sb2 0.3165 0.1835 0.5000
Sb3 0.1835 0.6835 0.5000
Sb4 0.6835 0.8165 0.5000

Calculated values
Formation energy (no corrections) ... -0.19 eV/atom
Space-group type ... No. 127
Density ... 5.02 g cm⁻³
E above lowest polymorph ... 11 meV per atom
M_tot ... 0.00 μB per formula unit

=====

Entry 9:
The following is a DFT calculation (PBE) of Nb6AlRu2 after structural relaxation.

a = 3.2374 Å, b = 5.3492 Å, c = 9.4878 Å
α = 75.73°, β = 80.18°, γ = 72.39°
Element x y z (fractional)
Nb1 0.0027 0.6702 0.3244
Nb2 0.6696 0.2197 0.4411
Nb3 0.6757 0.5393 0.1093
Nb4 0.3243 0.4607 0.8907
Nb5 0.3304 0.7803 0.5589
Nb6 0.9973 0.3298 0.6756
Ru1 0.6620 0.8981 0.7779
Ru2 0.3380 0.1019 0.2221
Al1 0.0000 0.0000 0.0000

Calculated values
Space-group type ... No. 12
Density ... 8.65 g cm⁻³
M_tot ... 0.00 μB per formula unit
Formation energy from the elements ... -0.28 eV per atom

=====

Entry 10:
The following is a DFT calculation (PBE) of K3Tb2TiS6 after structural relaxation.

a = 6.8389 Å, b = 6.8389 Å, c = 7.6967 Å
α = 98.52°, β = 98.52°, γ = 120.03°
Element x y z (fractional)
S1 0.0663 0.3789 0.1974
S2 0.6211 0.9337 0.8026
S3 0.7545 0.7545 0.1963
S4 0.3789 0.0663 0.1974
S5 0.2455 0.2455 0.8037
S6 0.9337 0.6211 0.8026
K1 0.1693 0.8307 0.5000
K2 0.5000 0.5000 0.5000
K3 0.8307 0.1693 0.5000
Tb1 0.6670 0.3330 0.0000
Tb2 0.3330 0.6670 0.0000
Ti1 0.0000 0.0000 0.0000

Calculated values
Formation energy (no corrections) ... -1.66 eV/atom
Space-group type ... No. 12
Density ... 3.77 g cm⁻³
M_tot ... 1.00 μB per formula unit

=====

Entry 11:
The following is a DFT calculation (PBE) of SrMg2Ni after structural relaxation.

a = 3.5322 Å, b = 3.5322 Å, c = 7.6231 Å
α = 90.00°, β = 90.00°, γ = 90.00°
Element x y z (fractional)
Ni1 0.0000 0.0000 0.4314
Mg1 0.0000 0.0000 0.0632
Mg2 0.5000 0.5000 0.2971
Sr1 0.5000 0.5000 0.7082

Calculated values
Space-group type ... No. 99
Density ... 3.40 g cm⁻³
M_tot ... 0.00 μB per formula unit
Formation energy from the elements ... 0.03 eV per atom

=====

Entry 12:
The following is a DFT calculation (PBE) of Tb2Ce2Ga3 after structural relaxation.

a = 4.1045 Å, b = 3.3378 Å, c = 12.0923 Å
α = 90.00°, β = 80.23°, γ = 90.00°
Element x y z (fractional)
Tb1 0.5709 0.5000 0.8581
Tb2 0.4291 0.5000 0.1419
Ga1 0.1390 0.0000 0.7221
Ga2 0.8610 0.0000 0.2779
Ga3 0.0000 0.0000 0.0000
Ce1 0.2890 0.5000 0.4220
Ce2 0.7110 0.5000 0.5780

Calculated values
Space-group type ... No. 65
Density ... 8.21 g cm⁻³
E above lowest polymorph ... 0 meV per atom
M_tot ... 1.09 μB per formula unit
Formation energy from the elements ... -0.42 eV per atom